Computed, not measured: a relaxed DyZrGa3 crystal at the PBE level of DFT.

a = 4.053 Å, b = 4.003 Å, c = 12.708 Å
α = 99.06°, β = 90.00°, γ = 90.00°
Fractional coordinates of all 10 atoms:
Dy 0.250 0.076 0.151
Dy 0.750 0.924 0.849
Ga 0.750 0.526 0.051
Ga 0.750 0.318 0.635
Ga 0.250 0.682 0.365
Ga 0.750 0.623 0.246
Ga 0.250 0.377 0.754
Ga 0.250 0.474 0.949
Zr 0.250 0.794 0.587
Zr 0.750 0.206 0.413

Output
**Formation enthalpy at 0 K**: -0.62 eV per atom
**Electronic total energy**: -0.372 Ry/atom